Entry 1:
## Ca2MgRu (GGA-PBE)

Data for a relaxed structure of Ca2MgRu.

a b c (Å): 10.277 10.277 10.277
angles (deg): 19.58 19.58 19.58
Element x y z (fractional)
Ca  0.000  0.000  0.000
Ca  0.220  0.220  0.220
Mg  0.763  0.763  0.763
Ru  0.487  0.487  0.487

Computed properties:
Crystal system: trigonal
Total moment in μB per formula unit: 0.40
ρ in Mg/m³: 3.2
Energy relative to the elements in eV per atom: 0.334
SG: R3m

Entry 2:
## CaMg2Ru (GGA-PBE)

Data for a relaxed structure of CaMg2Ru.

a b c (Å): 5.816 5.816 5.816
angles (deg): 145.06 129.98 62.47
Element x y z (fractional)
Ca  0.000  0.000  0.000
Mg  0.288  0.788  0.500
Mg  0.575  0.575  0.000
Ru  0.770  0.270  0.500

Computed properties:
Crystal system: orthorhombic
Total moment in μB per formula unit: 0.00
ρ in Mg/m³: 3.7
Energy relative to the elements in eV per atom: 0.146
SG: Imm2

Entry 3:
## CaMgRu2 (GGA-PBE)

Data for a relaxed structure of CaMgRu2.

a b c (Å): 5.361 5.361 5.361
angles (deg): 145.43 126.31 65.44
Element x y z (fractional)
Ca  0.000  0.000  0.000
Mg  0.500  0.500  0.000
Ru  0.260  0.760  0.500
Ru  0.740  0.240  0.500

Computed properties:
Crystal system: orthorhombic
Total moment in μB per formula unit: 0.00
ρ in Mg/m³: 6.4
Energy relative to the elements in eV per atom: 0.395
SG: Immm

Entry 4:
## CaMg2Ru (GGA-PBE)

Data for a relaxed structure of CaMg2Ru.

a b c (Å): 10.027 10.027 10.027
angles (deg): 18.37 18.37 18.37
Element x y z (fractional)
Ca  0.000  0.000  0.000
Mg  0.233  0.233  0.233
Mg  0.767  0.767  0.767
Ru  0.500  0.500  0.500

Computed properties:
Crystal system: trigonal
Total moment in μB per formula unit: 0.00
ρ in Mg/m³: 3.6
Energy relative to the elements in eV per atom: 0.291
SG: R-3m

Entry 5:
## CaMg2Ru (GGA-PBE)

Data for a relaxed structure of CaMg2Ru.

a b c (Å): 10.089 10.089 10.089
angles (deg): 18.31 18.31 18.31
Element x y z (fractional)
Ca  0.000  0.000  0.000
Mg  0.530  0.530  0.530
Mg  0.771  0.771  0.771
Ru  0.262  0.262  0.262

Computed properties:
Crystal system: trigonal
Total moment in μB per formula unit: 0.00
ρ in Mg/m³: 3.6
Energy relative to the elements in eV per atom: 0.270
SG: R3m

Entry 6:
## Ca2MgRu (GGA-PBE)

Data for a relaxed structure of Ca2MgRu.

a b c (Å): 10.478 10.478 10.478
angles (deg): 18.82 18.82 18.82
Element x y z (fractional)
Ca  0.232  0.232  0.232
Ca  0.768  0.768  0.768
Mg  0.000  0.000  0.000
Ru  0.500  0.500  0.500

Computed properties:
Crystal system: trigonal
Total moment in μB per formula unit: 0.27
ρ in Mg/m³: 3.3
Energy relative to the elements in eV per atom: 0.289
SG: R-3m

Entry 7:
## CaMg2Ru (GGA-PBE)

Data for a relaxed structure of CaMg2Ru.

a b c (Å): 3.211 4.559 6.146
angles (deg): 90.00 105.05 90.00
Element x y z (fractional)
Ca  0.000  0.000  0.000
Mg  0.274  0.000  0.549
Mg  0.687  0.500  0.372
Ru  0.391  0.500  0.780

Computed properties:
Crystal system: monoclinic
Total moment in μB per formula unit: 0.47
ρ in Mg/m³: 3.6
Energy relative to the elements in eV per atom: 0.193
SG: Pm

Entry 8:
## Ca2MgRu (GGA-PBE)

Data for a relaxed structure of Ca2MgRu.

a b c (Å): 5.041 5.041 5.041
angles (deg): 60.00 60.00 60.00
Element x y z (fractional)
Ca  0.000  0.000  0.000
Ca  0.250  0.250  0.250
Mg  0.750  0.750  0.750
Ru  0.500  0.500  0.500

Computed properties:
Crystal system: cubic
Total moment in μB per formula unit: 0.00
ρ in Mg/m³: 3.8
Energy relative to the elements in eV per atom: 0.209
SG: F-43m

Entry 9:
## CaMgRu2 (GGA-PBE)

Data for a relaxed structure of CaMgRu2.

a b c (Å): 4.063 4.063 4.316
angles (deg): 90.00 90.00 90.00
Element x y z (fractional)
Ca  0.000  0.000  0.000
Mg  0.500  0.500  0.000
Ru  0.000  0.500  0.500
Ru  0.500  0.000  0.500

Computed properties:
Crystal system: tetragonal
Total moment in μB per formula unit: 1.86
ρ in Mg/m³: 6.2
Energy relative to the elements in eV per atom: 0.394
SG: P4/mmm

Entry 10:
## CaMg2Ru (GGA-PBE)

Data for a relaxed structure of CaMg2Ru.

a b c (Å): 4.869 4.869 4.869
angles (deg): 120.15 120.15 89.74
Element x y z (fractional)
Ca  0.000  0.000  0.000
Mg  0.250  0.750  0.500
Mg  0.500  0.500  0.000
Ru  0.750  0.250  0.500

Computed properties:
Crystal system: tetragonal
Total moment in μB per formula unit: 0.00
ρ in Mg/m³: 3.9
Energy relative to the elements in eV per atom: 0.147
SG: I-4m2

Entry 11:
## Ca2MgRu (GGA-PBE)

Data for a relaxed structure of Ca2MgRu.

a b c (Å): 3.492 3.492 8.284
angles (deg): 90.00 90.00 90.00
Element x y z (fractional)
Ca  0.000  0.000  0.198
Ca  0.000  0.000  0.802
Mg  0.500  0.500  0.500
Ru  0.500  0.500  0.000

Computed properties:
Crystal system: tetragonal
Total moment in μB per formula unit: 0.00
ρ in Mg/m³: 3.4
Energy relative to the elements in eV per atom: 0.159
SG: P4/mmm

Entry 12:
## CaMgSc2Ru (GGA-PBE)

Data for a relaxed structure of CaMgSc2Ru.

a b c (Å): 5.001 5.001 5.538
angles (deg): 90.00 90.00 90.00
Element x y z (fractional)
Ca  0.000  0.000  0.000
Mg  0.500  0.500  0.000
Sc  0.000  0.500  0.500
Sc  0.500  0.000  0.500
Ru  0.000  0.000  0.500

Computed properties:
Crystal system: tetragonal
Total moment in μB per formula unit: 0.00
ρ in Mg/m³: 3.1
Energy relative to the elements in eV per atom: 0.016
SG: P4/mmm

Entry 13:
## CaMgSc2Ru (GGA-PBE)

Data for a relaxed structure of CaMgSc2Ru.

a b c (Å): 4.966 4.966 5.293
angles (deg): 90.00 90.00 90.00
Element x y z (fractional)
Ca  0.000  0.000  0.000
Mg  0.500  0.500  0.000
Sc  0.000  0.500  0.500
Sc  0.500  0.000  0.500
Ru  0.500  0.500  0.500

Computed properties:
Crystal system: tetragonal
Total moment in μB per formula unit: 0.00
ρ in Mg/m³: 3.2
Energy relative to the elements in eV per atom: -0.128
SG: P4/mmm

Entry 14:
## CaMg2SiRu (GGA-PBE)

Data for a relaxed structure of CaMg2SiRu.

a b c (Å): 4.966 4.966 4.605
angles (deg): 90.00 90.00 90.00
Element x y z (fractional)
Ca  0.000  0.000  0.000
Mg  0.000  0.500  0.500
Mg  0.500  0.000  0.500
Si  0.500  0.500  0.000
Ru  0.500  0.500  0.500

Computed properties:
Energy relative to the elements, uncorrected in kJ/mol of atoms: -15.99
Crystal system: tetragonal
Total moment in μB per formula unit: 0.00
ρ in Mg/m³: 3.2
SG: P4/mmm

Entry 15:
## CaMg2SnRu (GGA-PBE)

Data for a relaxed structure of CaMg2SnRu.

a b c (Å): 5.008 5.008 5.083
angles (deg): 90.00 90.00 90.00
Element x y z (fractional)
Ca  0.000  0.000  0.000
Mg  0.000  0.500  0.500
Mg  0.500  0.000  0.500
Sn  0.500  0.500  0.000
Ru  0.500  0.500  0.500

Computed properties:
Crystal system: tetragonal
Total moment in μB per formula unit: 0.00
ρ in Mg/m³: 4.0
Energy relative to the elements in eV per atom: -0.133
SG: P4/mmm

Entry 16:
## SrCaMg2Ru (GGA-PBE)

Data for a relaxed structure of SrCaMg2Ru.

a b c (Å): 5.237 5.237 5.301
angles (deg): 90.00 90.00 90.00
Element x y z (fractional)
Sr  0.000  0.000  0.000
Ca  0.500  0.500  0.000
Mg  0.000  0.500  0.500
Mg  0.500  0.000  0.500
Ru  0.500  0.500  0.500

Computed properties:
Crystal system: tetragonal
Total moment in μB per formula unit: 0.00
ρ in Mg/m³: 3.2
Energy relative to the elements in eV per atom: 0.080
SG: P4/mmm

Entry 17:
## CaTbMgRu (GGA-PBE)

Data for a relaxed structure of CaTbMgRu.

a b c (Å): 5.060 5.060 5.060
angles (deg): 60.00 60.00 60.00
Element x y z (fractional)
Ca  0.000  0.000  0.000
Tb  0.500  0.500  0.500
Mg  0.250  0.250  0.250
Ru  0.750  0.750  0.750

Computed properties:
Crystal system: cubic
Total moment in μB per formula unit: 0.00
ρ in Mg/m³: 5.9
Energy relative to the elements in eV per atom: 0.007
SG: F-43m

Entry 18:
## CaY2MgRu (GGA-PBE)

Data for a relaxed structure of CaY2MgRu.

a b c (Å): 5.331 5.331 5.565
angles (deg): 90.00 90.00 90.00
Element x y z (fractional)
Ca  0.000  0.000  0.000
Y  0.000  0.500  0.500
Y  0.500  0.000  0.500
Mg  0.500  0.500  0.000
Ru  0.000  0.000  0.500

Computed properties:
Crystal system: tetragonal
Total moment in μB per formula unit: 0.00
ρ in Mg/m³: 3.6
Energy relative to the elements in eV per atom: -0.001
SG: P4/mmm

Entry 19:
## CaYMg2Ru (GGA-PBE)

Data for a relaxed structure of CaYMg2Ru.

a b c (Å): 5.213 5.213 5.118
angles (deg): 90.00 90.00 90.00
Element x y z (fractional)
Ca  0.000  0.000  0.000
Y  0.500  0.500  0.000
Mg  0.000  0.500  0.500
Mg  0.500  0.000  0.500
Ru  0.500  0.500  0.500

Computed properties:
Crystal system: tetragonal
Total moment in μB per formula unit: 0.00
ρ in Mg/m³: 3.3
Energy relative to the elements in eV per atom: 0.002
SG: P4/mmm

Entry 20:
## CaY2MgRu (GGA-PBE)

Data for a relaxed structure of CaY2MgRu.

a b c (Å): 5.309 5.309 5.339
angles (deg): 90.00 90.00 90.00
Element x y z (fractional)
Ca  0.000  0.000  0.000
Y  0.000  0.500  0.500
Y  0.500  0.000  0.500
Mg  0.500  0.500  0.000
Ru  0.500  0.500  0.500

Computed properties:
Crystal system: tetragonal
Total moment in μB per formula unit: 0.00
ρ in Mg/m³: 3.8
Energy relative to the elements in eV per atom: -0.082
SG: P4/mmm

Entry 21:
## CaMgS (GGA-PBE)

Data for a relaxed structure of CaMgS.

a b c (Å): 8.945 8.945 8.945
angles (deg): 31.25 31.25 31.25
Element x y z (fractional)
Ca  0.107  0.107  0.107
Ca  0.893  0.893  0.893
Mg  0.315  0.315  0.315
Mg  0.685  0.685  0.685
S  0.217  0.217  0.217
S  0.783  0.783  0.783

Computed properties:
Energy relative to the elements, uncorrected in kJ/mol of atoms: -107.08
Crystal system: trigonal
Total moment in μB per formula unit: 0.00
ρ in Mg/m³: 1.9
SG: R-3m

Entry 22:
## Ca3MgS (GGA-PBE)

Data for a relaxed structure of Ca3MgS.

a b c (Å): 5.465 5.465 5.465
angles (deg): 90.00 90.00 90.00
Element x y z (fractional)
Ca  0.000  0.000  0.500
Ca  0.000  0.500  0.000
Ca  0.500  0.000  0.000
Mg  0.500  0.500  0.500
S  0.000  0.000  0.000

Computed properties:
Energy relative to the elements, uncorrected in kJ/mol of atoms: -71.87
Crystal system: cubic
Total moment in μB per formula unit: 0.00
ρ in Mg/m³: 1.8
SG: Pm-3m

Entry 23:
## CaMg2S3 (GGA-PBE)

Data for a relaxed structure of CaMg2S3.

a b c (Å): 6.607 6.607 6.607
angles (deg): 146.61 131.12 60.49
Element x y z (fractional)
Ca  0.000  0.000  0.000
Mg  0.333  0.333  0.000
Mg  0.667  0.667  0.000
S  0.179  0.679  0.500
S  0.500  0.000  0.500
S  0.821  0.321  0.500

Computed properties:
Energy relative to the elements, uncorrected in kJ/mol of atoms: -158.00
Crystal system: orthorhombic
Total moment in μB per formula unit: 0.00
ρ in Mg/m³: 2.6
SG: Immm

Entry 24:
## CaMgS3 (GGA-PBE)

Data for a relaxed structure of CaMgS3.

a b c (Å): 4.812 4.812 4.812
angles (deg): 90.00 90.00 90.00
Element x y z (fractional)
Ca  0.000  0.000  0.000
Mg  0.500  0.500  0.500
S  0.000  0.500  0.500
S  0.500  0.000  0.500
S  0.500  0.500  0.000

Computed properties:
Energy relative to the elements, uncorrected in kJ/mol of atoms: -73.69
Crystal system: cubic
Total moment in μB per formula unit: 0.00
ρ in Mg/m³: 2.4
SG: Pm-3m

Entry 25:
## Ca2MgS2 (GGA-PBE)

Data for a relaxed structure of Ca2MgS2.

a b c (Å): 7.602 7.602 3.766
angles (deg): 90.00 90.00 90.00
Element x y z (fractional)
Ca  0.155  0.345  0.000
Ca  0.345  0.845  0.000
Ca  0.655  0.155  0.000
Ca  0.845  0.655  0.000
Mg  0.000  0.000  0.500
Mg  0.500  0.500  0.500
S  0.155  0.655  0.500
S  0.345  0.155  0.500
S  0.655  0.845  0.500
S  0.845  0.345  0.500

Computed properties:
Energy relative to the elements, uncorrected in kJ/mol of atoms: -138.71
Crystal system: tetragonal
Total moment in μB per formula unit: 0.00
ρ in Mg/m³: 2.6
SG: P4/mbm

Entry 26:
## Ca2MgS3 (GGA-PBE)

Data for a relaxed structure of Ca2MgS3.

a b c (Å): 6.805 6.805 6.805
angles (deg): 146.57 131.25 60.41
Element x y z (fractional)
Ca  0.167  0.167  0.000
Ca  0.833  0.833  0.000
Mg  0.500  0.500  0.000
S  0.000  0.500  0.500
S  0.345  0.845  0.500
S  0.655  0.155  0.500

Computed properties:
Energy relative to the elements, uncorrected in kJ/mol of atoms: -181.18
Crystal system: orthorhombic
Total moment in μB per formula unit: 0.00
ρ in Mg/m³: 2.6
SG: Immm

Entry 27:
## CaMg4S5 (GGA-PBE)

Data for a relaxed structure of CaMg4S5.

a b c (Å): 6.526 6.526 9.245
angles (deg): 118.10 118.10 33.56
Element x y z (fractional)
Ca  0.000  0.000  0.000
Mg  0.199  0.199  0.794
Mg  0.401  0.401  0.598
Mg  0.599  0.599  0.402
Mg  0.801  0.801  0.206
S  0.000  0.000  0.500
S  0.206  0.206  0.311
S  0.393  0.393  0.109
S  0.607  0.607  0.891
S  0.794  0.794  0.689

Computed properties:
Energy relative to the elements, uncorrected in kJ/mol of atoms: -150.12
Crystal system: monoclinic
Total moment in μB per formula unit: 0.00
ρ in Mg/m³: 2.6
SG: C2/m

Entry 28:
## CaMgS3 (GGA-PBE)

Data for a relaxed structure of CaMgS3.

a b c (Å): 5.158 5.158 5.158
angles (deg): 90.00 90.00 90.00
Element x y z (fractional)
Ca  0.000  0.000  0.000
Mg  0.500  0.500  0.500
S  0.000  0.000  0.500
S  0.000  0.500  0.000
S  0.500  0.000  0.000

Computed properties:
Energy relative to the elements, uncorrected in kJ/mol of atoms: -11.83
Crystal system: cubic
Total moment in μB per formula unit: 1.79
ρ in Mg/m³: 1.9
SG: Pm-3m

Entry 29:
## CaMg3S (GGA-PBE)

Data for a relaxed structure of CaMg3S.

a b c (Å): 5.978 5.978 5.978
angles (deg): 90.00 90.00 90.00
Element x y z (fractional)
Ca  0.000  0.000  0.000
Mg  0.000  0.000  0.500
Mg  0.000  0.500  0.000
Mg  0.500  0.000  0.000
S  0.500  0.500  0.500

Computed properties:
Energy relative to the elements, uncorrected in kJ/mol of atoms: 96.26
Crystal system: cubic
Total moment in μB per formula unit: 0.00
ρ in Mg/m³: 1.1
SG: Pm-3m